! VAuO2 GGA+U relaxed; values from VASP
&SYSTEM
  ibrav = 0, nat = 4, ntyp = 3
/
ATOMIC_SPECIES
Au 196.97 Au.upf
O 16.00 O.upf
V 50.94 V.upf
ATOMIC_POSITIONS angstrom
Au -0.317 -2.051 -4.414
O 0.249 -1.367 -1.458
O 2.257 -3.527 -4.136
V 2.728 -5.260 -3.722
CELL_PARAMETERS angstrom
-1.254 -2.278 0.766
-0.498 -1.439 -5.106
4.092 -3.004 -1.781
! Crystal system: triclinic
! Spin magnetization in μB per formula unit: 0.0
! DOS(E_F) in states/eV per atom: 0.064
! Electronic total energy in eV/cell: -24.18
! Theoretical density in g/cm3: 6.5